Entry from Alexandria: an optimized crystal structure of Tb2Cd3In3 (PBE-GGA).

Structure (CIF):
```
data_Tb2Cd3In3
_chemical_formula_sum 'Tb2 Cd3 In3'
_cell_length_a 4.543
_cell_length_b 4.597
_cell_length_c 9.338
_cell_angle_alpha 90.00
_cell_angle_beta 90.00
_cell_angle_gamma 90.00
_symmetry_space_group_name_H-M 'P m m m'
_symmetry_Int_Tables_number 47
_symmetry_space_group_name_Hall '-P 2 2'
loop_
_atom_site_label
_atom_site_type_symbol
_atom_site_fract_x
_atom_site_fract_y
_atom_site_fract_z
_atom_site_occupancy
Tb1 Tb 0.000 0.000 0.247 1
Cd1 Cd 0.000 0.500 0.000 1
Cd2 Cd 0.000 0.500 0.500 1
Cd3 Cd 0.500 0.000 0.500 1
In1 In 0.500 0.000 0.000 1
In2 In 0.500 0.500 0.255 1
```

Output
Energy relative to the elements, meV/atom: -368
Final energy, Ry/atom: -0.213



Entry from Alexandria: an optimized crystal structure of Tb3CdIn3Te8 (PBE-GGA).

Structure (CIF):
```
data_Tb3CdIn3Te8
_chemical_formula_sum 'Tb9 Cd3 In9 Te24'
_cell_length_a 8.7782
_cell_length_b 8.7782
_cell_length_c 22.9757
_cell_angle_alpha 90.00
_cell_angle_beta 90.00
_cell_angle_gamma 120.00
_symmetry_space_group_name_H-M 'R -3 m'
_symmetry_Int_Tables_number 166
_symmetry_space_group_name_Hall '-R 3 2"'
loop_
_atom_site_label
_atom_site_type_symbol
_atom_site_fract_x
_atom_site_fract_y
_atom_site_fract_z
_atom_site_occupancy
Tb1 Tb 0.0000 0.5000 0.0000 1
Cd1 Cd 0.0000 0.0000 0.0000 1
In1 In 0.0000 0.5000 0.5000 1
Te1 Te 0.0000 0.0000 0.2551 1
Te2 Te 0.0014 0.5007 0.7433 1
```

Output
Raw formation energy, kJ per mole of atoms: -73.60
Final energy, Ry/atom: -0.292



Entry from Alexandria: an optimized crystal structure of TbTiCdIn (PBE-GGA).

Structure (CIF):
```
data_TbTiCdIn
_chemical_formula_sum 'Tb4 Ti4 Cd4 In4'
_cell_length_a 7.175
_cell_length_b 7.175
_cell_length_c 7.175
_cell_angle_alpha 90.00
_cell_angle_beta 90.00
_cell_angle_gamma 90.00
_symmetry_space_group_name_H-M 'F -4 3 m'
_symmetry_Int_Tables_number 216
_symmetry_space_group_name_Hall 'F -4 2 3'
loop_
_atom_site_label
_atom_site_type_symbol
_atom_site_fract_x
_atom_site_fract_y
_atom_site_fract_z
_atom_site_occupancy
Tb1 Tb 0.000 0.000 0.000 1
Ti1 Ti 0.000 0.000 0.500 1
Cd1 Cd 0.250 0.250 0.250 1
In1 In 0.250 0.250 0.750 1
```

Output
Energy relative to the elements, meV/atom: -140
Final energy, Ry/atom: -0.308



Entry from Alexandria: an optimized crystal structure of Tb4TlCd2In (PBE-GGA).

Structure (CIF):
```
data_Tb4TlCd2In
_chemical_formula_sum 'Tb12 Tl3 Cd6 In3'
_cell_length_a 5.3351
_cell_length_b 5.3351
_cell_length_c 26.1670
_cell_angle_alpha 90.00
_cell_angle_beta 90.00
_cell_angle_gamma 120.00
_symmetry_space_group_name_H-M 'R -3 m'
_symmetry_Int_Tables_number 166
_symmetry_space_group_name_Hall '-R 3 2"'
loop_
_atom_site_label
_atom_site_type_symbol
_atom_site_fract_x
_atom_site_fract_y
_atom_site_fract_z
_atom_site_occupancy
Tb1 Tb 0.0000 0.0000 0.1247 1
Tb2 Tb 0.0000 0.0000 0.3748 1
Tl1 Tl 0.0000 0.0000 0.5000 1
Cd1 Cd 0.0000 0.0000 0.2512 1
In1 In 0.0000 0.0000 0.0000 1
```

Output
Energy relative to the elements, meV/atom: -381
Final energy, Ry/atom: -0.262



Entry from Alexandria: an optimized crystal structure of Tb4TlCdIn2 (PBE-GGA).

Structure (CIF):
```
data_Tb4TlCdIn2
_chemical_formula_sum 'Tb12 Tl3 Cd3 In6'
_cell_length_a 5.3433
_cell_length_b 5.3433
_cell_length_c 26.1600
_cell_angle_alpha 90.00
_cell_angle_beta 90.00
_cell_angle_gamma 120.00
_symmetry_space_group_name_H-M 'R -3 m'
_symmetry_Int_Tables_number 166
_symmetry_space_group_name_Hall '-R 3 2"'
loop_
_atom_site_label
_atom_site_type_symbol
_atom_site_fract_x
_atom_site_fract_y
_atom_site_fract_z
_atom_site_occupancy
Tb1 Tb 0.0000 0.0000 0.1251 1
Tb2 Tb 0.0000 0.0000 0.3752 1
Tl1 Tl 0.0000 0.0000 0.0000 1
Cd1 Cd 0.0000 0.0000 0.5000 1
In1 In 0.0000 0.0000 0.2476 1
```

Output
Energy relative to the elements, meV/atom: -414
Final energy, Ry/atom: -0.281



Entry from Alexandria: an optimized crystal structure of TbTlCdIn (PBE-GGA).

Structure (CIF):
```
data_TbTlCdIn
_chemical_formula_sum 'Tb4 Tl4 Cd4 In4'
_cell_length_a 7.458
_cell_length_b 7.458
_cell_length_c 7.458
_cell_angle_alpha 90.00
_cell_angle_beta 90.00
_cell_angle_gamma 90.00
_symmetry_space_group_name_H-M 'F -4 3 m'
_symmetry_Int_Tables_number 216
_symmetry_space_group_name_Hall 'F -4 2 3'
loop_
_atom_site_label
_atom_site_type_symbol
_atom_site_fract_x
_atom_site_fract_y
_atom_site_fract_z
_atom_site_occupancy
Tb1 Tb 0.000 0.000 0.000 1
Tl1 Tl 0.250 0.250 0.250 1
Cd1 Cd 0.000 0.000 0.500 1
In1 In 0.250 0.250 0.750 1
```

Output
Energy relative to the elements, meV/atom: -156
Final energy, Ry/atom: -0.207
Energy above the lowest structure with this stoichiometry, kJ/mol of atoms: 15.6